# Ca2Ag2Hg (GGA-PBEsol, relaxed)
data_Ca2Ag2Hg
_cell_length_a 7.746
_cell_length_b 7.746
_cell_length_c 3.976
_cell_angle_alpha 90.00
_cell_angle_beta 90.00
_cell_angle_gamma 90.00
_symmetry_space_group_name_H-M 'P 4/m b m'
_symmetry_Int_Tables_number 127
_symmetry_space_group_name_Hall '-P 4 2ab'
loop_
_atom_site_label
_atom_site_type_symbol
_atom_site_fract_x
_atom_site_fract_y
_atom_site_fract_z
_atom_site_occupancy
Ca1 Ca 0.176 0.324 0.000 1
Ag1 Ag 0.125 0.625 0.500 1
Hg1 Hg 0.000 0.000 0.500 1
# - DFT total energy: -2.645 eV/atom